Arrangement a

Density functional theory data (PBE) for a relaxed BaAg2Pt crystal.

abc: 10.477 10.477 10.477
angles: 17.37 17.37 17.37
Atoms (fractional coordinates):
Ag: 0.013 0.013 0.013
Ag: 0.487 0.487 0.487
Ba: 0.250 0.250 0.250
Pt: 0.750 0.750 0.750

Summary:
N(E_F) (states/eV/atom): 0.36
M_tot (μB/cell): 0.000

Arrangement b

Density functional theory data (PBE) for a relaxed BaAg2Pt crystal.

abc: 4.386 4.389 4.952
angles: 90.00 90.00 90.00
Atoms (fractional coordinates):
Ag: 0.000 0.000 0.000
Ag: 0.500 0.500 0.000
Ba: 0.500 0.000 0.500
Pt: 0.000 0.500 0.500

Summary:
N(E_F) (states/eV/atom): 0.32
M_tot (μB/cell): 0.000

Arrangement c

Density functional theory data (PBE) for a relaxed BaAg2Pt crystal.

abc: 3.632 3.632 7.277
angles: 90.00 90.00 90.00
Atoms (fractional coordinates):
Ag: 0.000 0.000 0.993
Ag: 0.500 0.500 0.181
Ba: 0.000 0.000 0.528
Pt: 0.500 0.500 0.797

Summary:
N(E_F) (states/eV/atom): 0.45
M_tot (μB/cell): 0.000

Arrangement d

Density functional theory data (PBE) for a relaxed BaAg2Pt crystal.

abc: 4.094 4.097 6.347
angles: 90.77 90.00 90.00
Atoms (fractional coordinates):
Ag: 0.000 0.878 0.077
Ag: 0.500 0.379 0.077
Ba: 0.000 0.370 0.573
Pt: 0.500 0.873 0.774

Summary:
N(E_F) (states/eV/atom): 0.21
M_tot (μB/cell): 0.000

Energy relative to the most stable one, in kJ/mol of atoms: arrangement a 57.7; arrangement b 11.6; arrangement c 7.1; arrangement d 0.0

Arrangement a

Density functional theory data (PBE) for a relaxed BaAg4Pt crystal.

abc: 5.686 5.686 5.686
angles: 60.00 60.00 60.00
Atoms (fractional coordinates):
Ba: 0.750 0.750 0.750
Ag: 0.878 0.374 0.374
Ag: 0.374 0.374 0.878
Ag: 0.374 0.878 0.374
Ag: 0.374 0.374 0.374
Pt: 0.000 0.000 0.000

Summary:
N(E_F) (states/eV/atom): 0.18
M_tot (μB/cell): 0.000

Arrangement b

Density functional theory data (PBE) for a relaxed BaAg4Pt crystal.

abc: 5.125 5.125 7.686
angles: 89.98 90.06 90.00
Atoms (fractional coordinates):
Ba: 0.500 0.000 0.000
Ag: 0.000 0.500 0.168
Ag: 0.000 0.500 0.832
Ag: 0.000 0.000 0.500
Ag: 0.500 0.500 0.500
Pt: 0.000 0.500 0.500

Summary:
N(E_F) (states/eV/atom): 0.31
M_tot (μB/cell): 0.000

Energy relative to the most stable one, in kJ/mol of atoms: arrangement a 0.0; arrangement b 37.9

Arrangement a

Density functional theory data (PBE) for a relaxed Ba2AgPt2 crystal.

abc: 7.962 7.962 4.482
angles: 90.00 90.00 90.00
Atoms (fractional coordinates):
Ag: 0.000 0.000 0.000
Ag: 0.500 0.500 0.000
Ba: 0.176 0.676 0.500
Ba: 0.676 0.824 0.500
Ba: 0.824 0.324 0.500
Ba: 0.324 0.176 0.500
Pt: 0.378 0.878 0.000
Pt: 0.878 0.622 0.000
Pt: 0.622 0.122 0.000
Pt: 0.122 0.378 0.000

Summary:
N(E_F) (states/eV/atom): 0.68
M_tot (μB/cell): 0.000

Arrangement b

Density functional theory data (PBE) for a relaxed Ba2AgPt2 crystal.

abc: 4.880 6.113 6.112
angles: 56.70 66.47 66.48
Atoms (fractional coordinates):
Ba: 0.694 0.806 0.306
Ba: 0.306 0.194 0.694
Ag: 0.500 0.500 0.000
Pt: 0.000 0.245 0.255
Pt: 0.000 0.755 0.745

Summary:
N(E_F) (states/eV/atom): 0.42
M_tot (μB/cell): 0.000

Energy relative to the most stable one, in kJ/mol of atoms: arrangement a 11.7; arrangement b 0.0

Arrangement a

Density functional theory data (PBE) for a relaxed Ba8Ag2Pt crystal.

abc: 5.827 7.942 11.126
angles: 102.84 105.18 90.00
Atoms (fractional coordinates):
Ba: 0.415 0.594 0.829
Ba: 0.655 0.967 0.310
Ba: 0.786 0.675 0.572
Ba: 0.965 0.192 0.930
Ba: 0.214 0.325 0.428
Ba: 0.345 0.033 0.690
Ba: 0.585 0.406 0.171
Ba: 0.035 0.808 0.070
Ag: 0.807 0.261 0.615
Ag: 0.193 0.739 0.385
Pt: 0.500 0.000 0.000

Summary:
N(E_F) (states/eV/atom): 1.20
M_tot (μB/cell): 0.000

Arrangement b

Density functional theory data (PBE) for a relaxed Ba8Ag2Pt crystal.

abc: 7.914 8.882 8.882
angles: 71.92 75.14 75.14
Atoms (fractional coordinates):
Ba: 0.242 0.654 0.060
Ba: 0.758 0.940 0.346
Ba: 0.251 0.130 0.130
Ba: 0.749 0.870 0.870
Ba: 0.242 0.060 0.654
Ba: 0.758 0.346 0.940
Ba: 0.775 0.420 0.420
Ba: 0.225 0.580 0.580
Ag: 0.445 0.317 0.317
Ag: 0.555 0.683 0.683
Pt: 0.000 0.000 0.000

Summary:
N(E_F) (states/eV/atom): 0.97
M_tot (μB/cell): 0.000

Energy relative to the most stable one, in kJ/mol of atoms: arrangement a 6.2; arrangement b 0.0

Arrangement a

Density functional theory data (PBE) for a relaxed Ba2Ag2Pt crystal.

abc: 4.637 6.500 11.507
angles: 85.11 78.38 69.10
Atoms (fractional coordinates):
Ba: 0.700 0.234 0.366
Ba: 0.915 0.289 0.881
Ba: 0.300 0.766 0.634
Ba: 0.085 0.711 0.119
Ag: 0.039 0.336 0.586
Ag: 0.623 0.872 0.883
Ag: 0.961 0.664 0.414
Ag: 0.377 0.128 0.117
Pt: 0.572 0.166 0.689
Pt: 0.428 0.834 0.311

Summary:
N(E_F) (states/eV/atom): 0.43
M_tot (μB/cell): 0.000

Arrangement b

Density functional theory data (PBE) for a relaxed Ba2Ag2Pt crystal.

abc: 7.924 7.924 4.702
angles: 90.00 90.00 90.00
Atoms (fractional coordinates):
Ag: 0.375 0.875 0.000
Ag: 0.875 0.625 0.000
Ag: 0.625 0.125 0.000
Ag: 0.125 0.375 0.000
Ba: 0.185 0.685 0.500
Ba: 0.685 0.815 0.500
Ba: 0.815 0.315 0.500
Ba: 0.315 0.185 0.500
Pt: 0.000 0.000 0.000
Pt: 0.500 0.500 0.000

Summary:
N(E_F) (states/eV/atom): 0.38
M_tot (μB/cell): 0.000

Energy relative to the most stable one, in kJ/mol of atoms: arrangement a 0.0; arrangement b 18.9

Arrangement a

Density functional theory data (PBE) for a relaxed Ba3AgPt crystal.

abc: 4.587 9.853 9.865
angles: 70.70 90.00 90.00
Atoms (fractional coordinates):
Ba: 0.864 0.383 0.806
Ba: 0.864 0.006 0.687
Ba: 0.863 0.634 0.058
Ba: 0.363 0.032 0.084
Ba: 0.863 0.755 0.434
Ba: 0.363 0.356 0.409
Ag: 0.363 0.694 0.746
Ag: 0.863 0.194 0.247
Pt: 0.363 0.694 0.246
Pt: 0.364 0.194 0.746

Summary:
N(E_F) (states/eV/atom): 0.38
M_tot (μB/cell): 0.000

Arrangement b

Density functional theory data (PBE) for a relaxed Ba3AgPt crystal.

abc: 6.155 6.155 6.155
angles: 90.00 90.00 90.00
Atoms (fractional coordinates):
Ag: 0.500 0.500 0.500
Ba: 0.000 0.500 0.000
Ba: 0.000 0.000 0.500
Ba: 0.500 0.000 0.000
Pt: 0.000 0.000 0.000

Summary:
N(E_F) (states/eV/atom): 0.56
M_tot (μB/cell): 0.000

Energy relative to the most stable one, in kJ/mol of atoms: arrangement a 0.0; arrangement b 11.1

Arrangement a

Density functional theory data (PBE) for a relaxed RbBa2Ag crystal.

abc: 4.782 8.786 12.080
angles: 83.97 101.41 90.00
Atoms (fractional coordinates):
Rb: 0.497 0.245 0.994
Rb: 0.503 0.755 0.006
Ba: 0.171 0.952 0.341
Ba: 0.323 0.566 0.647
Ba: 0.677 0.434 0.353
Ba: 0.829 0.048 0.659
Ag: 0.255 0.246 0.509
Ag: 0.745 0.754 0.491

Summary:
N(E_F) (states/eV/atom): 0.91
M_tot (μB/cell): 0.000

Arrangement b

Density functional theory data (PBE) for a relaxed RbBa2Ag crystal.

abc: 10.693 10.693 8.578
angles: 51.45 51.45 90.00
Atoms (fractional coordinates):
Rb: 0.500 0.500 0.000
Rb: 0.250 0.750 0.500
Ba: 0.720 0.125 0.250
Ba: 0.030 0.625 0.250
Ba: 0.375 0.280 0.750
Ba: 0.875 0.970 0.750
Ag: 0.000 0.000 0.000
Ag: 0.750 0.250 0.500

Summary:
N(E_F) (states/eV/atom): 0.89
M_tot (μB/cell): 0.000

Energy relative to the most stable one, in kJ/mol of atoms: arrangement a 0.0; arrangement b 15.0

Arrangement a

Density functional theory data (PBE) for a relaxed RbBa3Ag crystal.

abc: 6.936 6.936 6.936
angles: 90.00 90.00 90.00
Atoms (fractional coordinates):
Rb: 0.000 0.000 0.000
Ba: 0.000 0.500 0.000
Ba: 0.000 0.000 0.500
Ba: 0.500 0.000 0.000
Ag: 0.500 0.500 0.500

Summary:
N(E_F) (states/eV/atom): 1.22
M_tot (μB/cell): 3.579

Arrangement b

Density functional theory data (PBE) for a relaxed RbBa3Ag crystal.

abc: 7.399 7.395 12.576
angles: 98.56 98.55 62.36
Atoms (fractional coordinates):
Rb: 0.503 0.469 0.971
Rb: 0.865 0.831 0.083
Ba: 0.235 0.201 0.287
Ba: 0.133 0.099 0.767
Ba: 0.436 0.402 0.616
Ba: 0.589 0.555 0.343
Ba: 0.932 0.898 0.439
Ba: 0.779 0.745 0.712
Ag: 0.993 0.341 0.527
Ag: 0.375 0.959 0.527

Summary:
N(E_F) (states/eV/atom): 1.06
M_tot (μB/cell): 0.000

Energy relative to the most stable one, in kJ/mol of atoms: arrangement a 86.0; arrangement b 0.0